A plane-wave DFT calculation with PBE was carried out for an optimized crystal structure of Pm2ZrO3.

Summary:
Symmetry ... No. 164

Cell: 3.422 3.422 8.388 Å, 90.00 90.00 120.00°
Element x y z (fractional)
Zr1 0.000 0.000 0.500
O1 0.000 0.000 0.000
Pm1 0.667 0.333 0.176
Pm2 0.333 0.667 0.824
O2 0.667 0.333 0.640
O3 0.333 0.667 0.360


A plane-wave DFT calculation with PBE was carried out for an optimized crystal structure of TaPb3.

Summary:
Symmetry ... No. 166

Cell: 9.158 9.158 9.158 Å, 42.15 42.15 42.15°
Element x y z (fractional)
Pb1 0.500 0.500 0.000
Pb2 0.500 0.000 0.500
Ta1 0.757 0.757 0.757
Pb3 0.209 0.728 0.728
Pb4 0.000 0.500 0.500
Ta2 0.000 0.000 0.000
Pb5 0.272 0.272 0.791
Pb6 0.272 0.791 0.272
Ta3 0.243 0.243 0.243
Pb7 0.728 0.209 0.728
Pb8 0.728 0.728 0.209
Pb9 0.791 0.272 0.272


A plane-wave DFT calculation with PBE was carried out for an optimized crystal structure of TmThAu.

Summary:
Symmetry ... No. 216

Cell: 4.892 4.892 4.892 Å, 60.00 60.00 60.00°
Element x y z (fractional)
Tm1 0.000 0.000 0.000
Th1 0.750 0.750 0.750
Au1 0.250 0.250 0.250


A plane-wave DFT calculation with PBE was carried out for an optimized crystal structure of GdHoSi.

Summary:
Symmetry ... No. 216
E above lowest polymorph ... 0 meV/atom

Cell: 4.853 4.853 4.853 Å, 60.00 60.00 60.00°
Element x y z (fractional)
Gd1 0.250 0.250 0.250
Si1 0.000 0.000 0.000
Ho1 0.750 0.750 0.750


A plane-wave DFT calculation with PBE was carried out for an optimized crystal structure of Tm2TlC.

Summary:
Symmetry ... No. 166

Cell: 8.244 8.244 8.244 Å, 24.95 24.95 24.95°
Element x y z (fractional)
C1 0.000 0.000 0.000
Tm1 0.278 0.278 0.278
Tm2 0.722 0.722 0.722
Tl1 0.500 0.500 0.500


A plane-wave DFT calculation with PBE was carried out for an optimized crystal structure of Y2CuSi2Au.

Summary:
Symmetry ... No. 6
E above lowest polymorph ... 168 meV/atom

Cell: 7.749 4.459 14.812 Å, 90.00 99.77 90.00°
Element x y z (fractional)
Y1 0.187 0.000 0.563
Au1 0.750 0.000 0.250
Si1 0.563 0.500 0.188
Cu1 0.249 0.000 0.747
Y2 0.685 0.500 0.558
Au2 0.748 0.500 0.749
Si2 0.065 0.500 0.684
Au3 0.498 0.500 0.998
Y3 0.942 0.500 0.322
Si3 0.818 0.500 0.936
Y4 0.440 0.000 0.322
Si4 0.313 0.500 0.444
Cu2 0.004 0.500 0.506
Si5 0.063 0.000 0.185
Cu3 0.003 0.000 0.997
Y5 0.699 0.000 0.060
Si6 0.306 0.000 0.933
Si7 0.555 0.000 0.684
Au4 0.250 0.500 0.248
Y6 0.423 0.500 0.806
Cu4 0.499 0.000 0.506
Y7 0.175 0.500 0.057
Y8 0.949 0.000 0.814
Si8 0.816 0.000 0.444


| no. | total energy (eV per atom) | ρ (g/cm3) | magnetic moment (μB/f.u.) |
| --- | --- | --- | --- |
| 1 | -8.052 | 8.4 | 0.02 |
| 2 | -5.034 | 12.8 | 0.01 |
| 3 | -4.760 | 12.0 | 0.00 |
| 4 | -5.352 | 7.2 | 0.01 |
| 5 | -5.562 | 10.5 | 0.00 |
| 6 | -5.698 | 6.5 | 0.00 |